Entry 1:
8
Lattice="3.776 0.000 0.000 0.000 3.776 0.000 0.000 0.000 8.334" Properties=species:S:1:pos:R:3 comment="PBE HoAlNO, relaxed" relative_energy_mev_per_atom=105 pbc="T T T"
O 0.000 0.000 0.000
O 1.888 1.888 0.000
Al 0.000 0.000 4.167
Al 1.888 1.888 4.167
N 0.000 1.888 3.629
N 1.888 0.000 4.704
Ho 1.888 0.000 7.206
Ho 0.000 1.888 1.128

***

Entry 2:
VASP calculation (PBE) on a relaxed structure of Th2Ga3Co4.

extended XYZ file:
```
18
Lattice="2.796 -7.879 0.000 2.796 7.879 0.000 0.000 0.000 6.619" Properties=species:S:1:pos:R:3 pbc="T T T"
Co 4.195 1.193 1.655
Co 4.195 -1.193 4.964
Co 2.796 5.242 0.160
Co 2.796 2.638 3.469
Co 2.796 -2.638 3.150
Co 1.398 -1.193 4.964
Co 1.398 1.193 1.655
Co 2.796 -5.242 6.459
Th 2.796 6.180 2.771
Th 2.796 -1.699 0.538
Th 2.796 1.699 6.080
Th 2.796 -6.180 3.848
Ga 1.398 3.656 1.655
Ga 0.000 0.000 0.000
Ga 4.195 3.656 1.655
Ga 4.195 -3.656 4.964
Ga 2.796 0.000 3.309
Ga 1.398 -3.656 4.964
```

***

Entry 3:
3
Lattice="0.000 3.531 3.531 3.531 0.000 3.531 3.531 3.531 0.000" Properties=species:S:1:pos:R:3 comment="PBE AcZnRe, relaxed" formation_energy_ev_per_atom=1.490 relative_energy_mev_per_atom=611 pbc="T T T"
Re 1.766 1.766 1.766
Ac 0.000 0.000 0.000
Zn 5.297 5.297 5.297

***

Entry 4:
3
Lattice="-2.207 -2.750 2.582 -2.973 1.547 2.806 -4.253 -0.722 -0.704" Properties=species:S:1:pos:R:3 comment="PBE NpReTc, relaxed" formation_energy_ev_per_atom=0.650 relative_energy_mev_per_atom=0 pbc="T T T"
Re -2.358 -0.481 1.171
Tc -4.716 -0.963 2.342
Np 0.000 0.000 0.000

***

Entry 5:
4
Lattice="0.000 3.246 3.246 3.246 0.000 3.246 3.246 3.246 0.000" Properties=species:S:1:pos:R:3 comment="PBE LuGaCuRe, relaxed" relative_energy_mev_per_atom=0 pbc="T T T"
Lu 1.623 1.623 1.623
Re 3.246 3.246 3.246
Cu 4.869 4.869 4.869
Ga 0.000 0.000 0.000

***

Entry 6:
4
Lattice="0.000 3.070 3.070 3.070 0.000 3.070 3.070 3.070 0.000" Properties=species:S:1:pos:R:3 comment="PBE HfZnFe2, relaxed" formation_energy_ev_per_atom=-0.005 pbc="T T T"
Fe 1.535 1.535 1.535
Fe 0.000 0.000 0.000
Hf 4.604 4.604 4.604
Zn 3.070 3.070 3.070

***

Entry 7:
4
Lattice="2.639 0.292 3.760 2.025 3.988 1.086 -1.452 2.400 3.649" Properties=species:S:1:pos:R:3 comment="PBE CdFeSnW, relaxed" relative_energy_mev_per_atom=0 pbc="T T T"
Sn 0.000 0.000 0.000
Cd 1.606 3.340 4.248
Fe 2.409 5.010 6.371
W 0.803 1.670 2.124

***

Number 1: raw total energy -7.247 eV/atom. Number 2: raw total energy -6.257 eV/atom. Number 3: raw total energy -4.441 eV/atom. Number 4: raw total energy -11.201 eV/atom. Number 5: raw total energy -5.504 eV/atom. Number 6: raw total energy -6.965 eV/atom. Number 7: raw total energy -5.809 eV/atom.